Record 1
Here is Cs4TbBr6 after structural relaxation from Alexandria via LeMat-Bulk. Energies are from PBE.

Results
As for the symmetry: P4/mnc (128). As for the total energy: -73.23 eV for the cell shown. For the total magnetic moment, the calculation gives 0.7 μB per formula unit. For the uncorrected formation energy, the calculation gives -1.685 eV per atom.

Structure (POSCAR):
```
Cs4TbBr6
1.0
-4.2757 5.5486 7.2713
5.5004 -4.8532 6.9377
7.6778 7.2486 -1.0165
Cs Br Tb
8 12 2
direct
0.8214 0.3214 0.7500
0.1786 0.6786 0.2500
0.8214 0.3214 0.2500
0.3214 0.1786 0.7500
0.6786 0.8214 0.2500
0.1786 0.6786 0.7500
0.6786 0.8214 0.7500
0.3214 0.1786 0.2500
0.5805 0.2243 0.0000
0.0805 0.2757 0.5000
0.0000 0.0000 0.7709
0.5000 0.5000 0.2709
0.7243 0.0805 0.5000
0.5000 0.5000 0.7291
0.7757 0.5805 0.0000
0.2243 0.4195 0.0000
0.2757 0.9195 0.5000
0.0000 0.0000 0.2291
0.4195 0.7757 0.0000
0.9195 0.7243 0.5000
0.5000 0.5000 0.0000
0.0000 0.0000 0.5000
```

Record 2
Here is CsTb2Br8 after structural relaxation from Alexandria via LeMat-Bulk. Energies are from PBE.

Results
As for the symmetry: P4/mmm (123). As for the total energy: -40.58 eV for the cell shown. For the total magnetic moment, the calculation gives 0.0 μB per formula unit. For the uncorrected formation energy, the calculation gives -1.553 eV per atom.

Structure (POSCAR):
```
CsTb2Br8
1.0
-2.0224 -5.2460 -4.0490
5.1125 -3.9286 2.5364
-5.5018 -2.9325 6.5475
Br Tb Cs
8 2 1
direct
0.2485 0.7515 0.8100
0.2485 0.2485 0.1900
0.7515 0.2485 0.8100
0.2485 0.2485 0.8100
0.7515 0.2485 0.1900
0.7515 0.7515 0.1900
0.7515 0.7515 0.8100
0.2485 0.7515 0.1900
0.0000 0.5000 0.0000
0.5000 0.0000 0.0000
0.5000 0.5000 0.5000
```

Record 3
Here is CsTbBr3 after structural relaxation from Alexandria via LeMat-Bulk. Energies are from PBE.

Results
As for the symmetry: Pm-3m (221). As for the total energy: -18.58 eV for the cell shown. For the total magnetic moment, the calculation gives 0.0 μB per formula unit. For the uncorrected formation energy, the calculation gives -1.616 eV per atom.

Structure (POSCAR):
```
CsTbBr3
1.0
-0.3101 5.1633 2.3783
-1.9033 -2.3387 4.8291
5.3566 -0.5321 1.8535
Cs Br Tb
1 3 1
direct
0.5000 0.5000 0.5000
0.5000 0.0000 0.0000
0.0000 0.5000 0.0000
0.0000 0.0000 0.5000
0.0000 0.0000 0.0000
```